The following is a PBE calculation of an optimized crystal structure of La2ThPt3, from Alexandria.

Lattice parameters (Å, degrees): 5.9904 8.4537 7.3501 106.75 114.05 90.00
Fractional positions:
1 La 0.6671 0.5832 0.3323
2 La 0.6652 0.0832 0.3323
3 La 0.3348 0.9168 0.6677
4 La 0.3329 0.4168 0.6677
5 Th 0.9995 0.7500 0.0000
6 Th 0.0005 0.2500 0.0000
7 Pt 0.5004 0.2500 0.0000
8 Pt 0.4996 0.7500 0.0000
9 Pt 0.1585 0.0796 0.3188
10 Pt 0.8397 0.4204 0.6812
11 Pt 0.1603 0.5796 0.3188
12 Pt 0.8415 0.9204 0.6812

Calculated values
Symmetry: C2/c
Energy of formation, eV/atom: -1.194